DFT (GGA-PBE) results for crystalline Ce2CoGe4Ir3 at its relaxed geometry.

abc: 4.2128 4.2128 10.1673
angles: 90.00 90.00 90.00
With the nearest neighbours (Å) after each atom.
Fractional positions:
Ce 0.0000 0.5000 0.2481  6 Ir 3.20-3.32, 8 Ge 3.24-3.29, 2 Co 3.32
Ce 0.5000 0.0000 0.7519  6 Ir 3.20-3.32, 8 Ge 3.24-3.29, 2 Co 3.32
Co 0.0000 0.0000 0.5000  4 Ge 2.47
Ge 0.0000 0.0000 0.0000  4 Ir 2.50
Ge 0.0000 0.5000 0.6262  3 Ir 2.45-2.47, 2 Co 2.47
Ge 0.5000 0.0000 0.3738  3 Ir 2.45-2.47, 2 Co 2.47
Ge 0.5000 0.5000 0.0000  4 Ir 2.50
Ir 0.0000 0.5000 0.8677  5 Ge 2.45-2.50
Ir 0.5000 0.0000 0.1323  5 Ge 2.45-2.50
Ir 0.5000 0.5000 0.5000  4 Ge 2.47

Output
Energy relative to the elements, eV/atom: -0.707
Fermi-level density of states, states/eV per cell: 8.655
Volume, Å³ per atom: 18.0

DFT (GGA-PBE) results for crystalline La2Ce2CoGe4 at its relaxed geometry.

abc: 6.5056 6.5056 6.5056
angles: 113.11 113.11 102.42
With the nearest neighbours (Å) after each atom.
Fractional positions:
La 0.2500 0.7500 0.5000  8 Ge 3.26, 4 Ce 3.62
La 0.7500 0.2500 0.5000  8 Ge 3.26, 4 Ce 3.62
Ce 0.1906 0.1906 0.0000  1 Co 2.52
Ce 0.8094 0.8094 0.0000  1 Co 2.52
Co 0.5000 0.5000 0.0000  4 Ge 2.39, 2 Ce 2.52
Ge 0.2641 0.2641 0.5282  1 Co 2.39
Ge 0.2641 0.7359 0.0000  1 Co 2.39
Ge 0.7359 0.2641 0.0000  1 Co 2.39
Ge 0.7359 0.7359 0.4718  1 Co 2.39

Output
Energy relative to the elements, eV/atom: -0.552
Fermi-level density of states, states/eV per cell: 13.309
Volume, Å³ per atom: 23.3

DFT (GGA-PBE) results for crystalline LaCe2Co2Ge2 at its relaxed geometry.

abc: 9.1912 9.1912 9.1912
angles: 27.02 27.02 27.02
With the nearest neighbours (Å) after each atom.
Fractional positions:
La 0.0000 0.0000 0.0000  6 Ge 3.16, 6 Co 3.53
Ce 0.1390 0.1390 0.1390  3 Co 2.75, 3 Ce 2.88, 3 Ge 3.02
Ce 0.8610 0.8610 0.8610  3 Co 2.75, 3 Ce 2.88, 3 Ge 3.02
Co 0.4279 0.4279 0.4279  3 Ge 2.54, 3 Ce 2.75
Co 0.5721 0.5721 0.5721  3 Ge 2.54, 3 Ce 2.75
Ge 0.2593 0.2593 0.2593  3 Co 2.54
Ge 0.7407 0.7407 0.7407  3 Co 2.54

Output
Energy relative to the elements, eV/atom: -0.557
Fermi-level density of states, states/eV per cell: 5.255
Volume, Å³ per atom: 20.2

DFT (GGA-PBE) results for crystalline LiCeCoGe2 at its relaxed geometry.

abc: 4.1421 4.1421 9.9530
angles: 90.00 90.00 90.00
With the nearest neighbours (Å) after each atom.
Fractional positions:
Li 0.0000 0.0000 0.0000  4 Ge 2.40
Li 0.5000 0.5000 0.5000  4 Ge 2.40
Ce 0.0000 0.5000 0.2500  8 Ge 3.19, 4 Li 3.24, 4 Co 3.24
Ce 0.5000 0.0000 0.7500  8 Ge 3.19, 4 Co 3.24, 4 Li 3.24
Co 0.0000 0.0000 0.5000  4 Ge 2.40
Co 0.5000 0.5000 0.0000  4 Ge 2.40
Ge 0.0000 0.5000 0.6222  2 Co 2.40, 2 Li 2.40, 1 Ge 2.54
Ge 0.0000 0.5000 0.8778  2 Li 2.40, 2 Co 2.40, 1 Ge 2.54
Ge 0.5000 0.0000 0.1222  2 Li 2.40, 2 Co 2.40, 1 Ge 2.54
Ge 0.5000 0.0000 0.3778  2 Co 2.40, 2 Li 2.40, 1 Ge 2.54

Output
Energy relative to the elements, eV/atom: -0.517
Fermi-level density of states, states/eV per cell: 11.165
Volume, Å³ per atom: 17.1

DFT (GGA-PBE) results for crystalline Ce2Mg2CoGe4 at its relaxed geometry.

abc: 6.2460 6.2460 6.2460
angles: 117.87 117.87 93.73
With the nearest neighbours (Å) after each atom.
Fractional positions:
Ce 0.2500 0.7500 0.5000  8 Ge 3.12, 4 Mg 3.24
Ce 0.7500 0.2500 0.5000  8 Ge 3.12, 4 Mg 3.24
Mg 0.2073 0.2073 0.0000  1 Co 2.50
Mg 0.7927 0.7927 0.0000  1 Co 2.50
Co 0.5000 0.5000 0.0000  4 Ge 2.36, 2 Mg 2.50
Ge 0.2410 0.2410 0.4821  1 Co 2.36
Ge 0.2410 0.7590 0.0000  1 Co 2.36
Ge 0.7590 0.2410 0.0000  1 Co 2.36
Ge 0.7590 0.7590 0.5179  1 Co 2.36

Output
Energy relative to the elements, eV/atom: -0.451
Fermi-level density of states, states/eV per cell: 9.904
Volume, Å³ per atom: 19.7

DFT (GGA-PBE) results for crystalline Ce2MnCoGe6 at its relaxed geometry.

abc: 6.3605 8.7185 6.8833
angles: 90.00 90.00 90.00
With the nearest neighbours (Å) after each atom.
Fractional positions:
Ce 0.2500 0.0064 0.2428  12 Ge 3.17-3.49, 1 Mn 3.30, 1 Co 3.34
Ce 0.2500 0.4936 0.2428  12 Ge 3.17-3.49, 1 Mn 3.30, 1 Co 3.34
Ce 0.7500 0.5064 0.7572  12 Ge 3.17-3.49, 1 Mn 3.30, 1 Co 3.34
Ce 0.7500 0.9936 0.7572  12 Ge 3.17-3.49, 1 Mn 3.30, 1 Co 3.34
Mn 0.2500 0.7500 0.8894  6 Ge 2.31-2.58
Mn 0.7500 0.2500 0.1106  6 Ge 2.31-2.58
Co 0.2500 0.2500 0.6182  6 Ge 2.29-2.46
Co 0.7500 0.7500 0.3818  6 Ge 2.29-2.46
Ge 0.0527 0.2500 0.9249  1 Mn 2.31, 1 Co 2.46, 1 Ge 2.51
Ge 0.0526 0.7500 0.5616  1 Co 2.29, 1 Ge 2.51
Ge 0.2500 0.5025 0.7357  1 Co 2.35, 1 Mn 2.40
Ge 0.2500 0.9975 0.7357  1 Co 2.35, 1 Mn 2.40
Ge 0.4473 0.2500 0.9249  1 Mn 2.31, 1 Co 2.46, 1 Ge 2.51
Ge 0.4474 0.7500 0.5616  1 Co 2.29, 1 Ge 2.51
Ge 0.5526 0.2500 0.4384  1 Co 2.29, 1 Ge 2.51
Ge 0.5527 0.7500 0.0751  1 Mn 2.31, 1 Co 2.46, 1 Ge 2.51
Ge 0.7500 0.0025 0.2643  1 Co 2.35, 1 Mn 2.40
Ge 0.7500 0.4975 0.2643  1 Co 2.35, 1 Mn 2.40
Ge 0.9474 0.2500 0.4384  1 Co 2.29, 1 Ge 2.51
Ge 0.9473 0.7500 0.0751  1 Mn 2.31, 1 Co 2.46, 1 Ge 2.51

Output
Energy relative to the elements, eV/atom: -0.373
Fermi-level density of states, states/eV per cell: 25.743
Volume, Å³ per atom: 19.1

DFT (GGA-PBE) results for crystalline Ce2MnCo3Ge4 at its relaxed geometry.

abc: 4.0595 4.0595 10.0252
angles: 90.00 90.00 90.00
With the nearest neighbours (Å) after each atom.
Fractional positions:
Ce 0.0000 0.5000 0.2408  6 Co 3.09-3.30, 8 Ge 3.12-3.15, 2 Mn 3.30
Ce 0.5000 0.0000 0.7592  6 Co 3.09-3.30, 8 Ge 3.12-3.15, 2 Mn 3.30
Mn 0.0000 0.0000 0.5000  4 Ge 2.46
Co 0.0000 0.5000 0.8738  5 Ge 2.36-2.39
Co 0.5000 0.0000 0.1262  5 Ge 2.36-2.39
Co 0.5000 0.5000 0.5000  4 Ge 2.46
Ge 0.0000 0.0000 0.0000  4 Co 2.39
Ge 0.0000 0.5000 0.6379  3 Co 2.36-2.46, 2 Mn 2.46
Ge 0.5000 0.0000 0.3621  3 Co 2.36-2.46, 2 Mn 2.46
Ge 0.5000 0.5000 0.0000  4 Co 2.39

Output
Energy relative to the elements, eV/atom: -0.543
Fermi-level density of states, states/eV per cell: 9.204
Volume, Å³ per atom: 16.5

DFT (GGA-PBE) results for crystalline Ce2MnCo4Ge3 at its relaxed geometry.

abc: 3.9668 3.9668 10.1186
angles: 90.00 90.00 90.00
With the nearest neighbours (Å) after each atom.
Fractional positions:
Ce 0.0000 0.5000 0.2443  8 Co 3.01-3.26, 6 Ge 3.09-3.17, 2 Mn 3.17
Ce 0.5000 0.0000 0.7557  8 Co 3.01-3.26, 6 Ge 3.09-3.17, 2 Mn 3.17
Mn 0.5000 0.5000 0.0000  4 Co 2.42
Co 0.0000 0.0000 0.5000  4 Ge 2.36
Co 0.0000 0.5000 0.8627  3 Ge 2.39-2.42, 2 Mn 2.42
Co 0.5000 0.0000 0.1373  3 Ge 2.39-2.42, 2 Mn 2.42
Co 0.5000 0.5000 0.5000  4 Ge 2.36
Ge 0.0000 0.0000 0.0000  4 Co 2.42
Ge 0.0000 0.5000 0.6268  5 Co 2.36-2.39
Ge 0.5000 0.0000 0.3732  5 Co 2.36-2.39

Output
Energy relative to the elements, eV/atom: -0.469
Fermi-level density of states, states/eV per cell: 12.753
Volume, Å³ per atom: 15.9